Density functional theory data (PBE) for an optimized crystal structure of SmDyPuIn.

Values from the calculation:
For the theoretical density, the calculation gives 9.75 g/cm3. The value obtained for the formation energy is 0.01 eV per atom. Its uncorrected energy is -6.59 eV per atom.

```
data_SmDyPuIn
_symmetry_space_group_name_H-M 'F -4 3 m'
_symmetry_Int_Tables_number 216
_symmetry_space_group_name_Hall 'F -4 2 3'
_cell_length_a 7.706
_cell_length_b 7.706
_cell_length_c 7.706
_cell_angle_alpha 90.00
_cell_angle_beta 90.00
_cell_angle_gamma 90.00
loop_
_atom_site_label
_atom_site_type_symbol
_atom_site_fract_x
_atom_site_fract_y
_atom_site_fract_z
Sm1 Sm 0.000 0.000 0.000
Dy1 Dy 0.250 0.250 0.750
Pu1 Pu 0.250 0.250 0.250
In1 In 0.000 0.000 0.500
```

=====

Density functional theory data (PBE) for an optimized crystal structure of AgPt3.

Values from the calculation:
For the theoretical density, the calculation gives 9.42 g/cm3. The value obtained for the formation energy is 2.07 eV per atom. Its uncorrected energy is -3.17 eV per atom.

```
data_AgPt3
_symmetry_space_group_name_H-M 'P m -3 m'
_symmetry_Int_Tables_number 221
_symmetry_space_group_name_Hall '-P 4 2 3'
_cell_length_a 4.962
_cell_length_b 4.962
_cell_length_c 4.962
_cell_angle_alpha 90.00
_cell_angle_beta 90.00
_cell_angle_gamma 90.00
loop_
_atom_site_label
_atom_site_type_symbol
_atom_site_fract_x
_atom_site_fract_y
_atom_site_fract_z
Ag1 Ag 0.000 0.000 0.000
Pt1 Pt 0.000 0.000 0.500
```

=====

Density functional theory data (PBE) for an optimized crystal structure of ScMn2Te.

Values from the calculation:
For the theoretical density, the calculation gives 5.86 g/cm3. The uncorrected formation energy comes out at 0.30 eV per atom. Its uncorrected energy is -6.65 eV per atom.

```
data_ScMn2Te
_symmetry_space_group_name_H-M 'R -3 m'
_symmetry_Int_Tables_number 166
_symmetry_space_group_name_Hall '-R 3 2"'
_cell_length_a 3.2800
_cell_length_b 3.2800
_cell_length_c 25.7860
_cell_angle_alpha 90.00
_cell_angle_beta 90.00
_cell_angle_gamma 120.00
loop_
_atom_site_label
_atom_site_type_symbol
_atom_site_fract_x
_atom_site_fract_y
_atom_site_fract_z
Sc1 Sc 0.0000 0.0000 0.0000
Mn1 Mn 0.0000 0.0000 0.2470
Te1 Te 0.0000 0.0000 0.5000
```

=====

Density functional theory data (PBE) for an optimized crystal structure of ZnTe2Ir.

Values from the calculation:
For the theoretical density, the calculation gives 8.21 g/cm3. The uncorrected formation energy comes out at -0.07 eV per atom. Its uncorrected energy is -4.18 eV per atom.

```
data_ZnTe2Ir
_symmetry_space_group_name_H-M 'C 1 m 1'
_symmetry_Int_Tables_number 8
_cell_length_a 8.879
_cell_length_b 3.926
_cell_length_c 6.318
_cell_angle_alpha 90.00
_cell_angle_beta 109.59
_cell_angle_gamma 90.00
loop_
_symmetry_equiv_pos_as_xyz
'x,y,z'
'x,-y,z'
'x+1/2,y+1/2,z'
'x+1/2,-y+1/2,z'
loop_
_atom_site_label
_atom_site_type_symbol
_atom_site_fract_x
_atom_site_fract_y
_atom_site_fract_z
Zn1 Zn 0.000 0.000 0.000
Te1 Te 0.150 0.000 0.683
Te2 Te 0.323 0.000 0.273
Ir1 Ir 0.215 0.500 0.981
```

=====

Density functional theory data (PBE) for an optimized crystal structure of KMgRu2.

Values from the calculation:
For the theoretical density, the calculation gives 5.78 g/cm3. The value obtained for the formation energy is 1.19 eV per atom. Its uncorrected energy is -4.12 eV per atom.

```
data_KMgRu2
_symmetry_space_group_name_H-M 'P 4/m m m'
_symmetry_Int_Tables_number 123
_symmetry_space_group_name_Hall '-P 4 2'
_cell_length_a 5.393
_cell_length_b 5.393
_cell_length_c 2.623
_cell_angle_alpha 90.00
_cell_angle_beta 90.00
_cell_angle_gamma 90.00
loop_
_atom_site_label
_atom_site_type_symbol
_atom_site_fract_x
_atom_site_fract_y
_atom_site_fract_z
K1 K 0.000 0.000 0.000
Mg1 Mg 0.500 0.500 0.000
Ru1 Ru 0.000 0.500 0.500
```

=====

Density functional theory data (PBE) for an optimized crystal structure of Tc2NiPb.

Values from the calculation:
For the theoretical density, the calculation gives 11.37 g/cm3. The value obtained for the formation energy is 0.33 eV per atom. Its uncorrected energy is -7.22 eV per atom.

```
data_Tc2NiPb
_symmetry_space_group_name_H-M 'P 1 m 1'
_symmetry_Int_Tables_number 6
_cell_length_a 3.111
_cell_length_b 3.029
_cell_length_c 7.322
_cell_angle_alpha 90.00
_cell_angle_beta 102.08
_cell_angle_gamma 90.00
loop_
_symmetry_equiv_pos_as_xyz
'x,y,z'
'x,-y,z'
loop_
_atom_site_label
_atom_site_type_symbol
_atom_site_fract_x
_atom_site_fract_y
_atom_site_fract_z
Tc1 Tc 0.000 0.000 0.000
Tc2 Tc 0.405 0.500 0.808
Ni1 Ni 0.800 0.000 0.593
Pb1 Pb 0.180 0.500 0.349
```

=====

Density functional theory data (PBE) for an optimized crystal structure of Sr2Li2Te.

Values from the calculation:
For the theoretical density, the calculation gives 3.34 g/cm3. The energy relative to the lowest polymorph listed for this composition comes out at 0.1017 eV/atom. The uncorrected formation energy comes out at -0.44 eV per atom. Its uncorrected energy is -2.51 eV per atom.

```
data_Sr2Li2Te
_symmetry_space_group_name_H-M 'P 4/m b m'
_symmetry_Int_Tables_number 127
_symmetry_space_group_name_Hall '-P 4 2ab'
_cell_length_a 7.961
_cell_length_b 7.961
_cell_length_c 4.965
_cell_angle_alpha 90.00
_cell_angle_beta 90.00
_cell_angle_gamma 90.00
loop_
_atom_site_label
_atom_site_type_symbol
_atom_site_fract_x
_atom_site_fract_y
_atom_site_fract_z
Sr1 Sr 0.174 0.326 0.000
Li1 Li 0.129 0.629 0.500
Te1 Te 0.000 0.000 0.500
```

=====

Density functional theory data (PBE) for an optimized crystal structure of BaP2PbO.

Values from the calculation:
For the theoretical density, the calculation gives 5.44 g/cm3. The energy relative to the lowest polymorph listed for this composition comes out at 0.0000 eV/atom. The uncorrected formation energy comes out at -0.12 eV per atom. Its uncorrected energy is -4.40 eV per atom.

```
data_BaP2PbO
_symmetry_space_group_name_H-M 'P 4/m m m'
_symmetry_Int_Tables_number 123
_symmetry_space_group_name_Hall '-P 4 2'
_cell_length_a 5.355
_cell_length_b 5.355
_cell_length_c 4.498
_cell_angle_alpha 90.00
_cell_angle_beta 90.00
_cell_angle_gamma 90.00
loop_
_atom_site_label
_atom_site_type_symbol
_atom_site_fract_x
_atom_site_fract_y
_atom_site_fract_z
Ba1 Ba 0.000 0.000 0.000
P1 P 0.000 0.500 0.500
Pb1 Pb 0.500 0.500 0.500
O1 O 0.500 0.500 0.000
```

=====

Density functional theory data (PBE) for an optimized crystal structure of YGe2Bi2Pt7.

Values from the calculation:
For the theoretical density, the calculation gives 13.33 g/cm3. The value obtained for the formation energy is -0.57 eV per atom. Its uncorrected energy is -6.05 eV per atom.

```
data_YGe2Bi2Pt7
_symmetry_space_group_name_H-M 'C 1 2/m 1'
_symmetry_Int_Tables_number 12
_cell_length_a 5.698
_cell_length_b 5.695
_cell_length_c 15.756
_cell_angle_alpha 90.00
_cell_angle_beta 100.37
_cell_angle_gamma 90.00
loop_
_symmetry_equiv_pos_as_xyz
'x,y,z'
'-x,-y,-z'
'-x,y,-z'
'x,-y,z'
'x+1/2,y+1/2,z'
'-x+1/2,-y+1/2,-z'
'-x+1/2,y+1/2,-z'
'x+1/2,-y+1/2,z'
loop_
_atom_site_label
_atom_site_type_symbol
_atom_site_fract_x
_atom_site_fract_y
_atom_site_fract_z
Y1 Y 0.000 0.000 0.000
Ge1 Ge 0.117 0.500 0.237
Bi1 Bi 0.211 0.000 0.422
Pt1 Pt 0.000 0.500 0.000
Pt2 Pt 0.180 0.250 0.859
Pt3 Pt 0.198 0.500 0.395
```

=====

Density functional theory data (PBE) for an optimized crystal structure of CsHg3Pt.

Values from the calculation:
For the theoretical density, the calculation gives 9.18 g/cm3. The value obtained for the formation energy is -0.17 eV per atom. The energy relative to the lowest polymorph listed for this composition comes out at 0.1334 eV/atom. Its uncorrected energy is -1.73 eV per atom.

```
data_CsHg3Pt
_symmetry_space_group_name_H-M 'C 1 2/c 1'
_symmetry_Int_Tables_number 15
_cell_length_a 15.688
_cell_length_b 16.201
_cell_length_c 5.675
_cell_angle_alpha 90.00
_cell_angle_beta 111.14
_cell_angle_gamma 90.00
loop_
_symmetry_equiv_pos_as_xyz
'x,y,z'
'-x,-y,-z'
'-x,y,-z+1/2'
'x,-y,z+1/2'
'x+1/2,y+1/2,z'
'-x+1/2,-y+1/2,-z'
'-x+1/2,y+1/2,-z+1/2'
'x+1/2,-y+1/2,z+1/2'
loop_
_atom_site_label
_atom_site_type_symbol
_atom_site_fract_x
_atom_site_fract_y
_atom_site_fract_z
Cs1 Cs 0.127 0.193 0.127
Hg1 Hg 0.080 0.356 0.579
Hg2 Hg 0.152 0.052 0.652
Hg3 Hg 0.154 0.436 0.154
Pt1 Pt 0.000 0.000 0.250
Pt2 Pt 0.000 0.500 0.250
```

=====

Density functional theory data (PBE) for an optimized crystal structure of ZnOsBr2.

Values from the calculation:
For the theoretical density, the calculation gives 7.92 g/cm3. The energy relative to the lowest polymorph listed for this composition comes out at 0.4423 eV/atom. The uncorrected formation energy comes out at 0.63 eV per atom. Its uncorrected energy is -3.34 eV per atom.

```
data_ZnOsBr2
_symmetry_space_group_name_H-M 'R -3 m'
_symmetry_Int_Tables_number 166
_symmetry_space_group_name_Hall '-R 3 2"'
_cell_length_a 3.0124
_cell_length_b 3.0124
_cell_length_c 33.2326
_cell_angle_alpha 90.00
_cell_angle_beta 90.00
_cell_angle_gamma 120.00
loop_
_atom_site_label
_atom_site_type_symbol
_atom_site_fract_x
_atom_site_fract_y
_atom_site_fract_z
Zn1 Zn 0.0000 0.0000 0.0000
Os1 Os 0.0000 0.0000 0.5000
Br1 Br 0.0000 0.0000 0.4285
```

=====

Density functional theory data (PBE) for an optimized crystal structure of MgBe2P.

Values from the calculation:
For the theoretical density, the calculation gives 2.08 g/cm3. The value obtained for the formation energy is -0.01 eV per atom. The energy relative to the lowest polymorph listed for this composition comes out at 0.0000 eV/atom. Its uncorrected energy is -3.63 eV per atom.

```
data_MgBe2P
_symmetry_space_group_name_H-M 'P m m m'
_symmetry_Int_Tables_number 47
_cell_length_a 3.536
_cell_length_b 3.795
_cell_length_c 4.359
_cell_angle_alpha 90.00
_cell_angle_beta 90.00
_cell_angle_gamma 90.00
loop_
_symmetry_equiv_pos_as_xyz
'x,y,z'
'-x,-y,-z'
'-x,-y,z'
'x,y,-z'
'x,-y,-z'
'-x,y,z'
'-x,y,-z'
'x,-y,z'
loop_
_atom_site_label
_atom_site_type_symbol
_atom_site_fract_x
_atom_site_fract_y
_atom_site_fract_z
Mg1 Mg 0.000 0.000 0.000
Be1 Be 0.500 0.500 0.237
P1 P 0.000 0.500 0.500
```